[1]
A relaxed Hg2RuAu crystal, computed with PBE.

Properties
The value obtained for the offset from the most stable computed form is 0.17 eV per formula unit. The value obtained for the formation enthalpy at 0 K is 39.53 kJ per mole of atoms. The value obtained for the density of states at the Fermi level is 0.86 states/eV/atom. The calculated volume is 20.692 Å³/atom. The symmetry is Imm2.

Unit cell a=6.5515 b=6.5515 c=6.5515 alpha=153.91 beta=137.79 gamma=50.30
With the nearest neighbours (Å) after each atom.
Fractional positions:
1 Hg 0.0000 0.0000 0.0000  2 Ru 2.82, 2 Hg 2.96, 4 Au 3.03
2 Hg 0.7071 0.2071 0.5000  4 Ru 2.78, 2 Hg 2.96
3 Ru 0.2023 0.7023 0.5000  2 Au 2.76, 6 Hg 2.78-2.82, 2 Ru 2.96
4 Au 0.3985 0.3985 0.0000  2 Ru 2.76, 2 Au 2.96, 4 Hg 3.03

---

[2]
A relaxed Hg2RuAu crystal, computed with PBE.

Properties
The value obtained for the offset from the most stable computed form is 0.47 eV per formula unit. The value obtained for the formation enthalpy at 0 K is 46.78 kJ per mole of atoms. The value obtained for the density of states at the Fermi level is 0.79 states/eV/atom. The calculated volume is 18.741 Å³/atom. The symmetry is I-4m2.

Unit cell a=5.1913 b=5.1913 c=5.1913 alpha=132.34 beta=132.34 gamma=69.69
With the nearest neighbours (Å) after each atom.
Fractional positions:
1 Hg 0.0000 0.0000 0.0000  4 Au 2.97, 4 Hg 2.99, 4 Ru 2.99
2 Hg 0.7500 0.2500 0.5000  4 Ru 2.97, 4 Hg 2.99, 4 Au 2.99
3 Ru 0.2500 0.7500 0.5000  8 Hg 2.97-2.99, 4 Au 2.99
4 Au 0.5000 0.5000 0.0000  8 Hg 2.97-2.99, 4 Ru 2.99

---

[3]
A relaxed Hg2RuAu crystal, computed with PBE.

Properties
The value obtained for the offset from the most stable computed form is 0.14 eV per formula unit. The value obtained for the formation enthalpy at 0 K is 38.82 kJ per mole of atoms. The value obtained for the density of states at the Fermi level is 0.41 states/eV/atom. The calculated volume is 18.614 Å³/atom. The symmetry is Cmmm.

Unit cell a=5.0547 b=5.0547 c=3.0428 alpha=90.00 beta=90.00 gamma=106.73
With the nearest neighbours (Å) after each atom.
Fractional positions:
1 Hg 0.0000 0.5000 0.0000  4 Ru 2.95, 4 Au 2.95, 4 Hg 3.02-3.04
2 Hg 0.5000 0.0000 0.0000  4 Ru 2.95, 4 Au 2.95, 4 Hg 3.02-3.04
3 Ru 0.0000 0.0000 0.5000  8 Hg 2.95, 2 Au 3.02, 2 Ru 3.04
4 Au 0.5000 0.5000 0.5000  8 Hg 2.95, 2 Ru 3.02, 2 Au 3.04

---

[4]
A relaxed HgRu3Au crystal, computed with PBE.

Properties
The value obtained for the offset from the most stable computed form is 0.00 eV per formula unit. The value obtained for the formation enthalpy at 0 K is 194.78 kJ per mole of atoms. The value obtained for the density of states at the Fermi level is 1.27 states/eV/atom. The calculated volume is 23.615 Å³/atom. The symmetry is Pm-3m.

Unit cell a=4.9059 b=4.9059 c=4.9059 alpha=90.00 beta=90.00 gamma=90.00
With the nearest neighbours (Å) after each atom.
Fractional positions:
1 Hg 0.0000 0.0000 0.0000  12 Ru 3.47
2 Ru 0.0000 0.5000 0.5000  2 Au 2.45
3 Ru 0.5000 0.0000 0.5000  2 Au 2.45
4 Ru 0.5000 0.5000 0.0000  2 Au 2.45
5 Au 0.5000 0.5000 0.5000  6 Ru 2.45

---

[5]
A relaxed HgRuAu2 crystal, computed with PBE.

Properties
The value obtained for the formation enthalpy at 0 K is 36.58 kJ per mole of atoms. The value obtained for the density of states at the Fermi level is 0.79 states/eV/atom. The calculated volume is 17.976 Å³/atom. The symmetry is P2/m.

Unit cell a=2.9105 b=4.0800 c=6.0555 alpha=90.00 beta=90.46 gamma=90.00
With the nearest neighbours (Å) after each atom.
Fractional positions:
1 Hg 0.0000 0.0000 0.0000  2 Hg 2.91, 8 Au 2.98-2.99, 2 Ru 3.03
2 Ru 0.0000 0.0000 0.5000  8 Au 2.87-2.88, 2 Ru 2.91, 2 Hg 3.03
3 Au 0.4990 0.5000 0.2675  3 Au 2.82-2.91, 4 Ru 2.87-2.88, 4 Hg 2.98-2.99
4 Au 0.5010 0.5000 0.7325  3 Au 2.82-2.91, 4 Ru 2.87-2.88, 4 Hg 2.98-2.99

---

[6]
A relaxed Hg2RuAu crystal, computed with PBE.

Properties
The value obtained for the offset from the most stable computed form is 0.29 eV per formula unit. The value obtained for the formation enthalpy at 0 K is 42.26 kJ per mole of atoms. The value obtained for the density of states at the Fermi level is 0.63 states/eV/atom. The calculated volume is 18.890 Å³/atom. The symmetry is C2/m.

Unit cell a=4.9260 b=4.9260 c=5.3891 alpha=100.21 beta=100.21 gamma=36.02
With the nearest neighbours (Å) after each atom.
Fractional positions:
1 Hg 0.2453 0.2453 0.2401  3 Ru 2.86-2.92, 3 Au 2.91-2.95, 6 Hg 3.02-3.18
2 Hg 0.7547 0.7547 0.7599  3 Ru 2.86-2.92, 3 Au 2.91-2.95, 6 Hg 3.02-3.18
3 Ru 0.5000 0.5000 0.0000  6 Hg 2.86-2.92, 2 Ru 3.05, 4 Au 3.10
4 Au 0.0000 0.0000 0.5000  6 Hg 2.91-2.95, 2 Au 3.05, 4 Ru 3.10

---

[7]
A relaxed HgRuAu2 crystal, computed with PBE.

Properties
The value obtained for the formation enthalpy at 0 K is 36.30 kJ per mole of atoms. The value obtained for the density of states at the Fermi level is 0.63 states/eV/atom. The calculated volume is 17.730 Å³/atom. The symmetry is Cmmm.

Unit cell a=5.2011 b=5.2011 c=2.8250 alpha=90.00 beta=90.00 gamma=111.87
With the nearest neighbours (Å) after each atom.
Fractional positions:
1 Hg 0.0000 0.0000 0.0000  2 Hg 2.83, 2 Ru 2.91, 8 Au 2.96
2 Ru 0.5000 0.5000 0.0000  2 Ru 2.83, 2 Hg 2.91, 8 Au 2.96
3 Au 0.0000 0.5000 0.5000  4 Au 2.83-2.91, 4 Hg 2.96, 4 Ru 2.96
4 Au 0.5000 0.0000 0.5000  4 Au 2.83-2.91, 4 Hg 2.96, 4 Ru 2.96

---

[8]
A relaxed HgRuAu2 crystal, computed with PBE.

Properties
The value obtained for the formation enthalpy at 0 K is 36.84 kJ per mole of atoms. The value obtained for the density of states at the Fermi level is 0.72 states/eV/atom. The calculated volume is 17.934 Å³/atom. The symmetry is C2/m.

Unit cell a=5.0528 b=5.0528 c=5.0896 alpha=99.01 beta=99.01 gamma=34.03
With the nearest neighbours (Å) after each atom.
Fractional positions:
1 Hg 0.0000 0.0000 0.0000  6 Au 2.88-3.02, 4 Ru 2.94, 2 Hg 2.96
2 Ru 0.5000 0.5000 0.5000  6 Au 2.86-2.94, 4 Hg 2.94, 2 Ru 2.96
3 Au 0.2420 0.2420 0.7378  3 Ru 2.86-2.94, 6 Au 2.86-3.03, 3 Hg 2.88-3.02
4 Au 0.7580 0.7580 0.2622  3 Ru 2.86-2.94, 6 Au 2.86-3.03, 3 Hg 2.88-3.02

---

> The lowest calculated volume belongs to which entry?

number 7